1.
Here is a relaxed structure of Tb3Sm2 from the Alexandria database. Energies are from PBE-GGA.

a b c (Å): 5.0738 6.2104 6.2166
angles (deg): 80.40 65.92 65.89
Last column: nearest neighbours and their distance in Å.
Atoms (fractional coordinates):
Tb1 0.0000 0.5000 0.5000  6 Tb 3.58-3.59, 6 Sm 3.58-3.59
Tb2 0.8002 0.3006 0.0990  6 Tb 3.58-3.59, 6 Sm 3.58-3.59
Tb3 0.1998 0.6994 0.9010  6 Tb 3.58-3.59, 6 Sm 3.58-3.59
Sm1 0.4002 0.8994 0.3003  9 Tb 3.58-3.59, 3 Sm 3.59
Sm2 0.5998 0.1006 0.6997  9 Tb 3.58-3.59, 3 Sm 3.59

Values from the calculation:
Energy of formation from the pure elements   0.0158 eV per atom



2.
Here is a relaxed structure of PmNd3Pt3 from the Alexandria database. Energies are from PBE-GGA.

a b c (Å): 7.1868 7.1868 7.3169
angles (deg): 90.53 90.53 97.49
Last column: nearest neighbours and their distance in Å.
Atoms (fractional coordinates):
Nd1 0.8228 0.1772 0.5000  6 Pt 2.92-3.01
Nd2 0.6650 0.6650 0.3753  3 Pt 2.94-3.04
Nd3 0.7529 0.2471 0.0000  6 Pt 3.08-3.18
Nd4 0.2471 0.7529 0.0000  6 Pt 3.08-3.18
Nd5 0.1772 0.8228 0.5000  6 Pt 2.92-3.01
Nd6 0.3350 0.3350 0.6247  3 Pt 2.94-3.04
Pm1 0.7433 0.7433 0.8794  4 Pt 2.84-3.06
Pm2 0.2567 0.2567 0.1206  4 Pt 2.84-3.06
Pt1 0.0605 0.0605 0.8077  2 Pm 2.93-3.06, 5 Nd 2.94-3.08, 1 Pt 3.05
Pt2 0.0188 0.4967 0.2818  1 Pm 2.84, 5 Nd 2.92-3.18
Pt3 0.9812 0.5033 0.7182  1 Pm 2.84, 5 Nd 2.92-3.18
Pt4 0.4967 0.0188 0.2818  1 Pm 2.84, 5 Nd 2.92-3.18
Pt5 0.9395 0.9395 0.1923  2 Pm 2.93-3.06, 5 Nd 2.94-3.08, 1 Pt 3.05
Pt6 0.5033 0.9812 0.7182  1 Pm 2.84, 5 Nd 2.92-3.18

Values from the calculation:
Energy of formation from the pure elements   -0.8958 eV per atom



3.
Here is a relaxed structure of Ac6Pt2SeS3 from the Alexandria database. Energies are from PBE-GGA.

a b c (Å): 4.3245 8.9824 9.9263
angles (deg): 104.08 102.58 90.00
Last column: nearest neighbours and their distance in Å.
Atoms (fractional coordinates):
Pt1 0.1672 0.3325 0.3344  6 Ac 3.06-3.08
Pt2 0.8328 0.6675 0.6656  6 Ac 3.06-3.08
Ac1 0.3288 0.9057 0.6575  2 Pt 3.06, 3 S 3.13-3.18, 1 Se 3.21
Ac2 0.9970 0.7398 0.9941  3 S 3.05-3.06, 1 Pt 3.08, 2 Se 3.17
Ac3 0.3306 0.4231 0.6611  3 Pt 3.07, 3 S 3.18-3.22
Ac4 0.6712 0.0943 0.3425  2 Pt 3.06, 3 S 3.13-3.18, 1 Se 3.21
Ac5 0.0030 0.2602 0.0059  3 S 3.05-3.06, 1 Pt 3.08, 2 Se 3.17
Ac6 0.6694 0.5769 0.3389  3 Pt 3.07, 3 S 3.18-3.22
S1 0.5000 0.5000 0.0000  6 Ac 3.06-3.18
S2 0.8405 0.1632 0.6809  6 Ac 3.05-3.22
S3 0.1595 0.8368 0.3191  6 Ac 3.05-3.22
Se1 0.5000 0.0000 0.0000  6 Ac 3.17-3.21

Values from the calculation:
Uncorrected formation energy   -1.670 eV per atom



4.
Here is a relaxed structure of K2SrCa from the Alexandria database. Energies are from PBE-GGA.

a b c (Å): 15.0936 15.0936 15.0936
angles (deg): 16.05 16.05 16.05
Last column: nearest neighbours and their distance in Å.
Atoms (fractional coordinates):
Sr1 0.2500 0.2500 0.2500  6 Sr 4.21, 6 K 4.54
K1 0.4975 0.4975 0.4975  6 K 4.21, 3 Ca 4.36, 3 Sr 4.54
K2 0.0025 0.0025 0.0025  6 K 4.21, 3 Ca 4.36, 3 Sr 4.54
Ca1 0.7500 0.7500 0.7500  6 Ca 4.21, 6 K 4.36

Values from the calculation:
Energy of formation from the pure elements   0.1276 eV per atom



5.
Here is a relaxed structure of Y4Al8Fe from the Alexandria database. Energies are from PBE-GGA.

a b c (Å): 7.3802 7.3802 7.3802
angles (deg): 114.11 114.11 100.55
Last column: nearest neighbours and their distance in Å.
Atoms (fractional coordinates):
Al1 0.7322 0.5000 0.2322  4 Al 2.64-2.67
Al2 0.2678 0.5000 0.7678  4 Al 2.64-2.67
Al3 0.5000 0.2678 0.7678  4 Al 2.64-2.67
Al4 0.0000 0.3021 0.3021  1 Fe 2.42, 2 Al 2.67
Al5 0.5000 0.7322 0.2322  4 Al 2.64-2.67
Al6 0.3021 0.0000 0.3021  1 Fe 2.42, 2 Al 2.67
Al7 0.6979 0.0000 0.6979  1 Fe 2.42, 2 Al 2.67
Al8 0.0000 0.6979 0.6979  1 Fe 2.42, 2 Al 2.67
Y1 0.5000 0.0000 0.0000  8 Al 3.10-3.12
Y2 0.0000 0.5000 0.0000  8 Al 3.10-3.12
Y3 0.0000 0.0000 0.5000  8 Al 3.10-3.12
Y4 0.5000 0.5000 0.5000  8 Al 3.10-3.12
Fe1 0.0000 0.0000 0.0000  4 Al 2.42

Values from the calculation:
Energy of formation from the pure elements   -0.0326 eV per atom



6.
Here is a relaxed structure of Fe2AsIr from the Alexandria database. Energies are from PBE-GGA.

a b c (Å): 5.2371 5.2371 6.4533
angles (deg): 66.06 66.06 90.00
Last column: nearest neighbours and their distance in Å.
Atoms (fractional coordinates):
Ir1 0.7500 0.2500 0.5000  4 Fe 2.27
Ir2 0.0000 0.0000 0.0000  4 Fe 2.27
Fe1 0.3750 0.3720 0.7500  2 Ir 2.27, 2 As 2.28
Fe2 0.8750 0.8780 0.7500  2 Ir 2.27, 2 As 2.28
Fe3 0.6280 0.1250 0.2500  2 Ir 2.27, 2 As 2.28
Fe4 0.1220 0.6250 0.2500  2 Ir 2.27, 2 As 2.28
As1 0.5000 0.5000 0.0000  4 Fe 2.28
As2 0.2500 0.7500 0.5000  4 Fe 2.28

Values from the calculation:
Energy of formation from the pure elements   0.7037 eV per atom



7.
Here is a relaxed structure of Rb2TeBr6 from the Alexandria database. Energies are from PBE-GGA.

a b c (Å): 7.5322 7.5322 14.6274
angles (deg): 90.00 90.00 90.00
Last column: nearest neighbours and their distance in Å.
Atoms (fractional coordinates):
Br1 0.2427 0.7573 0.5000  1 Te 2.74
Br2 0.1783 0.8217 0.8648  1 Te 2.74
Br3 0.3217 0.3217 0.6352  1 Te 2.74
Br4 0.7573 0.2427 0.5000  1 Te 2.74
Br5 0.2573 0.2573 0.0000  1 Te 2.74
Br6 0.7427 0.7427 0.0000  1 Te 2.74
Br7 0.1783 0.8217 0.1352  1 Te 2.74
Br8 0.8217 0.1783 0.8648  1 Te 2.74
Br9 0.6783 0.6783 0.6352  1 Te 2.74
Br10 0.6783 0.6783 0.3648  1 Te 2.74
Br11 0.3217 0.3217 0.3648  1 Te 2.74
Br12 0.8217 0.1783 0.1352  1 Te 2.74
Te1 0.5000 0.5000 0.5000  6 Br 2.74
Te2 0.0000 0.0000 0.0000  6 Br 2.74
Rb1 0.0000 0.0000 0.3340  6 Br 3.46-3.55
Rb2 0.5000 0.5000 0.8340  6 Br 3.46-3.55
Rb3 0.5000 0.5000 0.1660  6 Br 3.46-3.55
Rb4 0.0000 0.0000 0.6660  6 Br 3.46-3.55

Values from the calculation:
Uncorrected formation energy   -0.980 eV per atom
Energy above the lowest structure with this stoichiometry   59 meV per atom



8.
Here is a relaxed structure of CdFePb2 from the Alexandria database. Energies are from PBE-GGA.

a b c (Å): 7.3062 7.3062 4.5519
angles (deg): 71.77 71.77 25.06
Last column: nearest neighbours and their distance in Å.
Atoms (fractional coordinates):
Cd1 0.5710 0.5710 0.4290  2 Fe 2.88, 2 Cd 3.17
Pb1 0.9361 0.9361 0.0637  2 Fe 2.99, 2 Pb 3.17, 4 Cd 3.32
Pb2 0.7441 0.7441 0.7560  4 Fe 2.77
Fe1 0.2488 0.2488 0.2514  6 Pb 2.77-2.99, 2 Cd 2.88

Values from the calculation:
Energy of formation from the pure elements   0.3466 eV per atom



no.,VASP energy (eV per atom)
1,-4.6500
2,-6.2067
3,-6.0530
4,-1.3420
5,-4.9756
6,-6.9053
7,-2.6597
8,-3.8521